First-principles (PBE with a Hubbard U) data for a relaxed LiMnSi3O8 crystal, as listed in Alexandria.

abc: 7.1747 7.2713 7.7821
angles: 117.55 110.61 94.01
Closest atoms and distances in Å follow each position.
Space group P-1 (No. 2)
One atom of each set of equivalent atoms:
Li (0.1957, 0.3305, 0.1686) x2  4 O 2.02-2.17
Mn (0.1773, 0.8187, 0.2304) x2  4 O 1.91-2.08
Si (0.2661, 0.0536, 0.7734) x2  4 O 1.60-1.68
Si (0.2738, 0.6762, 0.8374) x2  4 O 1.62-1.63
Si (0.3834, 0.2590, 0.5522) x2  4 O 1.60-1.73
O (0.1049, 0.6576, 0.9289) x2  1 Si 1.63
O (0.1067, 0.1780, 0.8464) x2  1 Si 1.60
O (0.2113, 0.8042, 0.7089) x2  2 Si 1.62-1.63
O (0.2744, 0.0419, 0.5552) x2  2 Si 1.68-1.73
O (0.2767, 0.4432, 0.6617) x2  2 Si 1.62-1.63
O (0.2996, 0.1502, 0.2970) x2  1 Si 1.60
O (0.3663, 0.6590, 0.2998) x2  1 Si 1.63
O (0.4964, 0.1951, 0.9645) x2  2 Si 1.62

- E above lowest polymorph (meV/atom) = 0
- mass density (g/cm³) = 2.82
- total magnetic moment (μB/f.u.) = 4.0